[1]
The following is a PBE calculation of a geometry-optimized CaNi2AsS structure, from the Alexandria database.

Energy relative to the elements, uncorrected ... 564 kJ/mol of formula units

a = 4.6538 Å, b = 4.6538 Å, c = 4.9676 Å
α = 90.00°, β = 90.00°, γ = 90.00°
Space group P4/mmm (No. 123)
Symmetry-distinct sites (fractional):
Ca1 0.0000 0.0000 0.0000
Ni1 0.0000 0.5000 0.0000
As1 0.5000 0.5000 0.5000
S1 0.0000 0.0000 0.5000

[2]
The following is a PBE calculation of a geometry-optimized Ca2Ni4SbAs3 structure, from the Alexandria database.

Energy relative to the elements, uncorrected ... -579 kJ/mol of formula units

a = 4.2211 Å, b = 4.2211 Å, c = 9.8396 Å
α = 90.00°, β = 90.00°, γ = 90.00°
Space group P-4m2 (No. 115)
Symmetry-distinct sites (fractional):
Ca1 0.0000 0.5000 0.2342
Ni1 0.0000 0.0000 0.0000
Ni2 0.0000 0.5000 0.6376
Ni3 0.5000 0.5000 0.0000
Sb1 0.0000 0.0000 0.5000
As1 0.0000 0.5000 0.8757
As2 0.5000 0.5000 0.5000

[3]
The following is a PBE calculation of a geometry-optimized CaNiAs2Se structure, from the Alexandria database.

Energy relative to the elements, uncorrected ... 507 kJ/mol of formula units

a = 5.3386 Å, b = 5.3386 Å, c = 5.2714 Å
α = 90.00°, β = 90.00°, γ = 90.00°
Space group P4/mmm (No. 123)
Symmetry-distinct sites (fractional):
Ca1 0.0000 0.0000 0.0000
Ni1 0.5000 0.5000 0.5000
As1 0.0000 0.5000 0.0000
Se1 0.0000 0.0000 0.5000

[4]
The following is a PBE calculation of a geometry-optimized CaNiAs2Se structure, from the Alexandria database.

Energy relative to the elements, uncorrected ... -150 kJ/mol of formula units

a = 4.5603 Å, b = 4.5603 Å, c = 5.2790 Å
α = 90.00°, β = 90.00°, γ = 90.00°
Space group P4/mmm (No. 123)
Symmetry-distinct sites (fractional):
Ca1 0.0000 0.0000 0.0000
Ni1 0.5000 0.5000 0.5000
As1 0.0000 0.5000 0.5000
Se1 0.5000 0.5000 0.0000

[5]
The following is a PBE calculation of a geometry-optimized CaSiNiAs2 structure, from the Alexandria database.

Energy relative to the elements, uncorrected ... 315 kJ/mol of formula units

a = 4.7443 Å, b = 4.7443 Å, c = 5.3326 Å
α = 90.00°, β = 90.00°, γ = 90.00°
Space group P4/mmm (No. 123)
Symmetry-distinct sites (fractional):
Ca1 0.0000 0.0000 0.0000
Si1 0.0000 0.0000 0.5000
Ni1 0.5000 0.5000 0.0000
As1 0.0000 0.5000 0.5000

[6]
The following is a PBE calculation of a geometry-optimized CaSmNi2As2 structure, from the Alexandria database.

Calculated formation energy ... -0.95 eV/atom

a = 4.0680 Å, b = 4.0680 Å, c = 8.1609 Å
α = 90.00°, β = 90.00°, γ = 120.00°
Space group P-3m1 (No. 164)
Symmetry-distinct sites (fractional):
Ca1 0.0000 0.0000 0.0000
Sm1 0.0000 0.0000 0.5000
Ni1 0.3333 0.6667 0.7413
As1 0.3333 0.6667 0.2523

[7]
The following is a PBE calculation of a geometry-optimized SrCaNi2As2 structure, from the Alexandria database.

Calculated formation energy ... -0.80 eV/atom

a = 4.0499 Å, b = 4.0499 Å, c = 8.8142 Å
α = 90.00°, β = 90.00°, γ = 120.00°
Space group P-3m1 (No. 164)
Symmetry-distinct sites (fractional):
Sr1 0.0000 0.0000 0.0000
Ca1 0.0000 0.0000 0.5000
Ni1 0.3333 0.6667 0.7386
As1 0.3333 0.6667 0.2606

[8]
The following is a PBE calculation of a geometry-optimized CaTcNiAs2 structure, from the Alexandria database.

Calculated formation energy ... -0.58 eV/atom

a = 3.9713 Å, b = 3.9713 Å, c = 11.7905 Å
α = 90.00°, β = 90.00°, γ = 90.00°
Space group I-4m2 (No. 119)
Symmetry-distinct sites (fractional):
Ca1 0.0000 0.0000 0.0000
Tc1 0.0000 0.5000 0.2500
Ni1 0.0000 0.5000 0.7500
As1 0.0000 0.0000 0.3675

Number 1: M_tot 0.00 Bohr magnetons per cell, Fermi-level density of states 4.34 states/eV/cell, total DFT energy (no corrections) -16.49 eV per cell. Number 2: M_tot 0.00 Bohr magnetons per cell, Fermi-level density of states 5.65 states/eV/cell, total DFT energy (no corrections) -51.20 eV per cell. Number 3: M_tot 0.73 Bohr magnetons per cell, Fermi-level density of states 10.43 states/eV/cell, total DFT energy (no corrections) -15.32 eV per cell. Number 4: M_tot 0.00 Bohr magnetons per cell, Fermi-level density of states 5.74 states/eV/cell, total DFT energy (no corrections) -22.12 eV per cell. Number 5: M_tot 0.78 Bohr magnetons per cell, Fermi-level density of states 5.68 states/eV/cell, total DFT energy (no corrections) -19.24 eV per cell. Number 6: M_tot 0.00 Bohr magnetons per cell, Fermi-level density of states 3.85 states/eV/cell, total DFT energy (no corrections) -33.26 eV per cell. Number 7: M_tot 0.00 Bohr magnetons per cell, Fermi-level density of states 5.93 states/eV/cell, total DFT energy (no corrections) -29.33 eV per cell. Number 8: M_tot 0.00 Bohr magnetons per cell, Fermi-level density of states 4.96 states/eV/cell, total DFT energy (no corrections) -60.66 eV per cell.